InPSe2 | GGA-PBE | relaxed

The structure in extended XYZ format:
```
8
Lattice="-3.1052 3.1052 6.6243 3.1052 -3.1052 6.6243 3.1052 3.1052 -6.6243" Properties=species:S:1:pos:R:3 pbc="T T T"
In 0.0000 0.0000 0.0000
In 0.0000 3.1052 3.3122
P 3.1052 0.0000 3.3122
P 0.0000 0.0000 6.6243
Se 1.5526 -1.0096 4.9682
Se 2.0956 1.5526 1.6561
Se 1.5526 4.1148 -1.6561
Se 1.0096 1.5526 8.2804
```

Calculated values
The value obtained for the energy above the most stable polymorph in this dataset is 196 meV/atom. The density of states at the Fermi level comes out at 3.81 states/eV/cell. The electronic total energy is -3.66 eV per atom. The value obtained for the uncorrected formation energy is 0.460 eV/f.u. For the calculated density, the calculation gives 3948 kg/m3.



Tm2Sc2Pb2N | GGA-PBE | relaxed

The structure in extended XYZ format:
```
7
Lattice="-2.2454 2.2454 7.8486 2.2454 -2.2454 7.8486 2.2454 2.2454 -7.8486" Properties=species:S:1:pos:R:3 pbc="T T T"
Tm 0.0000 0.0000 2.4269
Tm 0.0000 0.0000 13.2703
Sc 2.2454 0.0000 0.0000
Sc 0.0000 2.2454 0.0000
Pb 0.0000 0.0000 5.6256
Pb 0.0000 0.0000 10.0716
N 0.0000 0.0000 0.0000
```

Calculated values
The density of states at the Fermi level comes out at 5.29 states/eV/cell. The electronic total energy is -6.26 eV per atom. The value obtained for the uncorrected formation energy is -6.473 eV/f.u. For the calculated density, the calculation gives 8982 kg/m3.



SmDyC2 | GGA-PBE | relaxed

The structure in extended XYZ format:
```
4
Lattice="1.8290 1.0560 5.9599 -1.8290 1.0560 5.9599 0.0000 -2.1120 5.9599" Properties=species:S:1:pos:R:3 pbc="T T T"
Sm 0.0000 0.0000 0.0000
Dy 0.0000 0.0000 8.9399
C 0.0000 0.0000 4.4229
C 0.0000 0.0000 13.4568
```

Calculated values
The density of states at the Fermi level comes out at 4.95 states/eV/cell. The electronic total energy is -6.81 eV per atom. The calculation puts the formation energy at 0.1330 eV per atom. For the calculated density, the calculation gives 8099 kg/m3.



LiLaPrRu | GGA-PBE | relaxed

The structure in extended XYZ format:
```
4
Lattice="0.0000 3.6290 3.6290 3.6290 0.0000 3.6290 3.6290 3.6290 0.0000" Properties=species:S:1:pos:R:3 pbc="T T T"
Li 0.0000 0.0000 0.0000
La 1.8145 1.8145 1.8145
Pr 5.4435 5.4435 5.4435
Ru 3.6290 3.6290 3.6290
```

Calculated values
The density of states at the Fermi level comes out at 2.30 states/eV/cell. The electronic total energy is -5.34 eV per atom. The calculation puts the formation energy at -0.1177 eV per atom. For the calculated density, the calculation gives 6737 kg/m3.



Result set for magnetization: 0.000, 0.000, 0.000, 0.000 μB per atom, one per record in the order listed.